Nd2Ho3Bi2 | PBE | relaxed

Output
crystal system	monoclinic

a b c (Å): 12.394 4.360 8.794
angles (deg): 90.00 109.69 90.00
Space group C2/m (No. 12)
Inequivalent atoms, fractional coordinates:
Nd (0.129, 0.000, 0.284)
Ho (0.000, 0.500, 0.500)
Ho (0.124, 0.500, 0.947)
Bi (0.170, 0.000, 0.699)

***

Nd2HoBi3 | PBE | relaxed

Output
crystal system	orthorhombic

a b c (Å): 4.563 6.454 13.676
angles (deg): 90.00 90.00 90.00
Space group Immm (No. 71)
Inequivalent atoms, fractional coordinates:
Nd (0.000, 0.000, 0.168)
Ho (0.000, 0.000, 0.500)
Bi (0.000, 0.500, 0.161)
Bi (0.000, 0.500, 0.500)

***

Nd4HoBi5 | PBE | relaxed

Output
crystal system	tetragonal

a b c (Å): 10.242 10.242 6.482
angles (deg): 90.00 90.00 90.00
Space group I4/m (No. 87)
Inequivalent atoms, fractional coordinates:
Nd (0.098, 0.699, 0.000)
Ho (0.000, 0.000, 0.500)
Bi (0.000, 0.000, 0.000)
Bi (0.099, 0.705, 0.500)

***

NdHo8Bi6 | PBE | relaxed

Output
crystal system	trigonal

a b c (Å): 7.6655 7.6655 29.4009
angles (deg): 90.00 90.00 120.00
Space group R-3 (No. 148, hexagonal axes)
Inequivalent atoms, fractional coordinates:
Nd (0.0000, 0.0000, 0.0000)
Ho (0.0000, 0.0000, 0.3336)
Ho (0.0031, 0.6760, 0.1219)
Bi (0.0019, 0.6599, 0.9364)

***

NdHo2Bi | PBE | relaxed

Output
crystal system	tetragonal

a b c (Å): 4.043 4.043 7.476
angles (deg): 90.00 90.00 90.00
Space group P4/mmm (No. 123)
Inequivalent atoms, fractional coordinates:
Nd (0.000, 0.000, 0.000)
Ho (0.500, 0.500, 0.276)
Bi (0.000, 0.000, 0.500)

***

Nd2HoBi4 | PBE | relaxed

Output
crystal system	tetragonal

a b c (Å): 4.502 4.502 11.841
angles (deg): 90.00 90.00 90.00
Space group P-4m2 (No. 115)
Inequivalent atoms, fractional coordinates:
Nd (0.000, 0.500, 0.214)
Ho (0.000, 0.000, 0.500)
Bi (0.000, 0.000, 0.000)
Bi (0.000, 0.500, 0.679)
Bi (0.500, 0.500, 0.000)

***

NdHo2Bi | PBE | relaxed

Output
crystal system	trigonal

a b c (Å): 4.0536 4.0536 28.8479
angles (deg): 90.00 90.00 120.00
Space group R3m (No. 160, hexagonal axes)
Inequivalent atoms, fractional coordinates:
Nd (0.0000, 0.0000, 0.0000)
Ho (0.0000, 0.0000, 0.5687)
Ho (0.0000, 0.0000, 0.7634)
Bi (0.0000, 0.0000, 0.1657)

***

NdHo3Bi4 | PBE | relaxed

Output
crystal system	cubic

a b c (Å): 6.361 6.361 6.361
angles (deg): 90.00 90.00 90.00
Space group Pm-3m (No. 221)
Inequivalent atoms, fractional coordinates:
Nd (0.000, 0.000, 0.000)
Ho (0.000, 0.500, 0.500)
Bi (0.000, 0.000, 0.500)
Bi (0.500, 0.500, 0.500)

***

| no. | spin magnetization (μB/atom) | VASP energy (eV per atom) |
| --- | --- | --- |
| 1 | 0.00 | -4.908 |
| 2 | 0.00 | -5.198 |
| 3 | 0.00 | -5.227 |
| 4 | 0.00 | -4.817 |
| 5 | 0.00 | -4.789 |
| 6 | 0.00 | -4.866 |
| 7 | 0.08 | -4.617 |
| 8 | 0.00 | -5.112 |